Run w
Density functional theory data (GGA-PBE) for a relaxed TmPuHg4 crystal.

Geometry as CIF:
```
data_TmPuHg4
_space_group_name_H-M_alt 'P m m m'
_space_group_IT_number 47
_cell_length_a 3.280
_cell_length_b 5.021
_cell_length_c 8.766
_cell_angle_alpha 90.00
_cell_angle_beta 90.00
_cell_angle_gamma 90.00
loop_
_space_group_symop_operation_xyz
'x,y,z'
'-x,-y,-z'
'-x,-y,z'
'x,y,-z'
'x,-y,-z'
'-x,y,z'
'-x,y,-z'
'x,-y,z'
loop_
_atom_site_label
_atom_site_type_symbol
_atom_site_fract_x
_atom_site_fract_y
_atom_site_fract_z
_atom_site_occupancy
Tm1 Tm 0.000 0.000 0.000 1
Pu1 Pu 0.000 0.500 0.500 1
Hg1 Hg 0.500 0.000 0.330 1
Hg2 Hg 0.500 0.500 0.163 1
```

---

Run x
Density functional theory data (GGA-PBE) for a relaxed TmPuHg4 crystal.

Geometry as CIF:
```
data_TmPuHg4
_space_group_name_H-M_alt 'I m m m'
_space_group_IT_number 71
_space_group_name_Hall '-I 2 2'
_cell_length_a 5.025
_cell_length_b 6.718
_cell_length_c 8.646
_cell_angle_alpha 90.00
_cell_angle_beta 90.00
_cell_angle_gamma 90.00
loop_
_atom_site_label
_atom_site_type_symbol
_atom_site_fract_x
_atom_site_fract_y
_atom_site_fract_z
_atom_site_occupancy
Tm1 Tm 0.000 0.000 0.000 1
Pu1 Pu 0.000 0.500 0.000 1
Hg1 Hg 0.000 0.251 0.333 1
```

---

In terms of stability, run w leads; the second structure lies 23 meV/atom higher.

---

Run w
Density functional theory data (GGA-PBE) for a relaxed TmPuHg crystal.

Geometry as CIF:
```
data_TmPuHg
_space_group_name_H-M_alt 'I 4 m m'
_space_group_IT_number 107
_space_group_name_Hall 'I 4 -2'
_cell_length_a 3.494
_cell_length_b 3.494
_cell_length_c 13.221
_cell_angle_alpha 90.00
_cell_angle_beta 90.00
_cell_angle_gamma 90.00
loop_
_atom_site_label
_atom_site_type_symbol
_atom_site_fract_x
_atom_site_fract_y
_atom_site_fract_z
_atom_site_occupancy
Tm1 Tm 0.000 0.000 0.000 1
Pu1 Pu 0.000 0.000 0.688 1
Hg1 Hg 0.000 0.000 0.354 1
```

---

Run x
Density functional theory data (GGA-PBE) for a relaxed TmPuHg crystal.

Geometry as CIF:
```
data_TmPuHg
_space_group_name_H-M_alt 'P 3 m 1'
_space_group_IT_number 156
_cell_length_a 5.2163
_cell_length_b 5.2163
_cell_length_c 3.3543
_cell_angle_alpha 90.00
_cell_angle_beta 90.00
_cell_angle_gamma 120.00
loop_
_space_group_symop_operation_xyz
'x,y,z'
'-y,x-y,z'
'-x+y,-x,z'
'-y,-x,z'
'-x+y,y,z'
'x,x-y,z'
loop_
_atom_site_label
_atom_site_type_symbol
_atom_site_fract_x
_atom_site_fract_y
_atom_site_fract_z
_atom_site_occupancy
Tm1 Tm 0.0000 0.0000 0.0000 1
Pu1 Pu 0.3333 0.6667 0.5715 1
Hg1 Hg 0.6667 0.3333 0.2421 1
```

---

In terms of stability, run w leads; the second structure lies 97 meV/atom higher.

---

Run w
Density functional theory data (GGA-PBE) for a relaxed YPuHg2 crystal.

Geometry as CIF:
```
data_YPuHg2
_space_group_name_H-M_alt 'F m -3 m'
_space_group_IT_number 225
_space_group_name_Hall '-F 4 2 3'
_cell_length_a 7.503
_cell_length_b 7.503
_cell_length_c 7.503
_cell_angle_alpha 90.00
_cell_angle_beta 90.00
_cell_angle_gamma 90.00
loop_
_atom_site_label
_atom_site_type_symbol
_atom_site_fract_x
_atom_site_fract_y
_atom_site_fract_z
_atom_site_occupancy
Y1 Y 0.000 0.000 0.000 1
Pu1 Pu 0.000 0.000 0.500 1
Hg1 Hg 0.250 0.250 0.250 1
```

---

Run x
Density functional theory data (GGA-PBE) for a relaxed YPuHg2 crystal.

Geometry as CIF:
```
data_YPuHg2
_space_group_name_H-M_alt 'P 4/m m m'
_space_group_IT_number 123
_space_group_name_Hall '-P 4 2'
_cell_length_a 5.370
_cell_length_b 5.370
_cell_length_c 3.659
_cell_angle_alpha 90.00
_cell_angle_beta 90.00
_cell_angle_gamma 90.00
loop_
_atom_site_label
_atom_site_type_symbol
_atom_site_fract_x
_atom_site_fract_y
_atom_site_fract_z
_atom_site_occupancy
Y1 Y 0.000 0.000 0.000 1
Pu1 Pu 0.500 0.500 0.000 1
Hg1 Hg 0.000 0.500 0.500 1
```

---

In terms of stability, run x leads; the second structure lies 20 meV/atom higher.

---

Run w
Density functional theory data (GGA-PBE) for a relaxed PuZrZnHg crystal.

Geometry as CIF:
```
data_PuZrZnHg
_space_group_name_H-M_alt 'P 4 m m'
_space_group_IT_number 99
_cell_length_a 3.133
_cell_length_b 3.133
_cell_length_c 8.770
_cell_angle_alpha 90.00
_cell_angle_beta 90.00
_cell_angle_gamma 90.00
loop_
_space_group_symop_operation_xyz
'x,y,z'
'-y,x,z'
'-x,-y,z'
'y,-x,z'
'-x,y,z'
'y,x,z'
'x,-y,z'
'-y,-x,z'
loop_
_atom_site_label
_atom_site_type_symbol
_atom_site_fract_x
_atom_site_fract_y
_atom_site_fract_z
_atom_site_occupancy
Pu1 Pu 0.000 0.000 0.000 1
Zr1 Zr 0.000 0.000 0.466 1
Zn1 Zn 0.500 0.500 0.252 1
Hg1 Hg 0.500 0.500 0.718 1
```

---

Run x
Density functional theory data (GGA-PBE) for a relaxed PuZrZnHg crystal.

Geometry as CIF:
```
data_PuZrZnHg
_space_group_name_H-M_alt 'F -4 3 m'
_space_group_IT_number 216
_space_group_name_Hall 'F -4 2 3'
_cell_length_a 7.142
_cell_length_b 7.142
_cell_length_c 7.142
_cell_angle_alpha 90.00
_cell_angle_beta 90.00
_cell_angle_gamma 90.00
loop_
_atom_site_label
_atom_site_type_symbol
_atom_site_fract_x
_atom_site_fract_y
_atom_site_fract_z
_atom_site_occupancy
Pu1 Pu 0.000 0.000 0.000 1
Zr1 Zr 0.000 0.000 0.500 1
Zn1 Zn 0.250 0.250 0.750 1
Hg1 Hg 0.250 0.250 0.250 1
```

---

In terms of stability, run w leads; the second structure lies 120 meV/atom higher.

---

Run w
Density functional theory data (GGA-PBE) for a relaxed PuZrHg2 crystal.

Geometry as CIF:
```
data_PuZrHg2
_space_group_name_H-M_alt 'P 4/m m m'
_space_group_IT_number 123
_space_group_name_Hall '-P 4 2'
_cell_length_a 3.172
_cell_length_b 3.172
_cell_length_c 9.155
_cell_angle_alpha 90.00
_cell_angle_beta 90.00
_cell_angle_gamma 90.00
loop_
_atom_site_label
_atom_site_type_symbol
_atom_site_fract_x
_atom_site_fract_y
_atom_site_fract_z
_atom_site_occupancy
Pu1 Pu 0.000 0.000 0.000 1
Zr1 Zr 0.000 0.000 0.500 1
Hg1 Hg 0.500 0.500 0.266 1
```

---

Run x
Density functional theory data (GGA-PBE) for a relaxed PuZrHg2 crystal.

Geometry as CIF:
```
data_PuZrHg2
_space_group_name_H-M_alt 'F m -3 m'
_space_group_IT_number 225
_space_group_name_Hall '-F 4 2 3'
_cell_length_a 7.300
_cell_length_b 7.300
_cell_length_c 7.300
_cell_angle_alpha 90.00
_cell_angle_beta 90.00
_cell_angle_gamma 90.00
loop_
_atom_site_label
_atom_site_type_symbol
_atom_site_fract_x
_atom_site_fract_y
_atom_site_fract_z
_atom_site_occupancy
Pu1 Pu 0.000 0.000 0.000 1
Zr1 Zr 0.000 0.000 0.500 1
Hg1 Hg 0.250 0.250 0.250 1
```

---

In terms of stability, run w leads; the second structure lies 95 meV/atom higher.

---

Run w
Density functional theory data (GGA-PBE) for a relaxed PuZr2Hg crystal.

Geometry as CIF:
```
data_PuZr2Hg
_space_group_name_H-M_alt 'R 3 m'
_space_group_IT_number 160
_space_group_name_Hall 'R 3 -2"'
_cell_length_a 3.2724
_cell_length_b 3.2724
_cell_length_c 30.2249
_cell_angle_alpha 90.00
_cell_angle_beta 90.00
_cell_angle_gamma 120.00
loop_
_atom_site_label
_atom_site_type_symbol
_atom_site_fract_x
_atom_site_fract_y
_atom_site_fract_z
_atom_site_occupancy
Pu1 Pu 0.0000 0.0000 0.0000 1
Zr1 Zr 0.0000 0.0000 0.2482 1
Zr2 Zr 0.0000 0.0000 0.4177 1
Hg1 Hg 0.0000 0.0000 0.8329 1
```

---

Run x
Density functional theory data (GGA-PBE) for a relaxed PuZr2Hg crystal.

Geometry as CIF:
```
data_PuZr2Hg
_space_group_name_H-M_alt 'P 4/m m m'
_space_group_IT_number 123
_space_group_name_Hall '-P 4 2'
_cell_length_a 3.294
_cell_length_b 3.294
_cell_length_c 8.456
_cell_angle_alpha 90.00
_cell_angle_beta 90.00
_cell_angle_gamma 90.00
loop_
_atom_site_label
_atom_site_type_symbol
_atom_site_fract_x
_atom_site_fract_y
_atom_site_fract_z
_atom_site_occupancy
Pu1 Pu 0.000 0.000 0.000 1
Zr1 Zr 0.500 0.500 0.260 1
Hg1 Hg 0.000 0.000 0.500 1
```

---

Run y
Density functional theory data (GGA-PBE) for a relaxed PuZr2Hg crystal.

Geometry as CIF:
```
data_PuZr2Hg
_space_group_name_H-M_alt 'R -3 m'
_space_group_IT_number 166
_space_group_name_Hall '-R 3 2"'
_cell_length_a 3.2927
_cell_length_b 3.2927
_cell_length_c 29.8956
_cell_angle_alpha 90.00
_cell_angle_beta 90.00
_cell_angle_gamma 120.00
loop_
_atom_site_label
_atom_site_type_symbol
_atom_site_fract_x
_atom_site_fract_y
_atom_site_fract_z
_atom_site_occupancy
Pu1 Pu 0.0000 0.0000 0.0000 1
Zr1 Zr 0.0000 0.0000 0.2488 1
Hg1 Hg 0.0000 0.0000 0.5000 1
```

---

In terms of stability, run x leads; the second structure lies 59 meV/atom higher.